No. 1
Here is a relaxed structure of PuZrPa4 from Alexandria. Energies are from PBE.

Unit cell a=7.4738 b=7.4738 c=5.8367 alpha=97.36 beta=97.36 gamma=111.05
Fractional positions:
1 Pu 0.2161 0.7839 0.0000
2 Pu 0.7839 0.2161 0.0000
3 Zr 0.3560 0.3560 0.5969
4 Zr 0.6440 0.6440 0.4031
5 Pa 0.0072 0.0072 0.2563
6 Pa 0.1763 0.4332 0.0713
7 Pa 0.2192 0.7808 0.5000
8 Pa 0.4332 0.1763 0.0713
9 Pa 0.5668 0.8237 0.9287
10 Pa 0.7808 0.2192 0.5000
11 Pa 0.8237 0.5668 0.9287
12 Pa 0.9928 0.9928 0.7437

Calculated values
**Crystal system**: monoclinic
**Volume**: 296.4 Å³/cell
**Total magnetic moment**: 2.89 μB/f.u.
**DFT formation energy**: 0.2274 eV per atom
**SG**: C2/m, No. 12
**Distance to the lowest polymorph of the same formula**: 162.8 meV per atom

No. 2
Here is a relaxed structure of PmPrCoAu from Alexandria. Energies are from PBE.

Unit cell a=5.1086 b=5.1086 c=5.1086 alpha=60.00 beta=60.00 gamma=60.00
Fractional positions:
1 Pm 0.0000 0.0000 0.0000
2 Pr 0.5000 0.5000 0.5000
3 Co 0.7500 0.7500 0.7500
4 Au 0.2500 0.2500 0.2500

Calculated values
**Crystal system**: cubic
**Volume**: 94.3 Å³/cell
**Total magnetic moment**: 0.54 μB/f.u.
**DFT formation energy**: -0.3017 eV per atom
**SG**: F-43m, No. 216

Q: DFT formation energy of number 2 (PmPrCoAu)?
A: -0.3017 eV per atom

Repeat the second record exactly.
Here is a relaxed structure of PmPrCoAu from Alexandria. Energies are from PBE.

Unit cell a=5.1086 b=5.1086 c=5.1086 alpha=60.00 beta=60.00 gamma=60.00
Fractional positions:
1 Pm 0.0000 0.0000 0.0000
2 Pr 0.5000 0.5000 0.5000
3 Co 0.7500 0.7500 0.7500
4 Au 0.2500 0.2500 0.2500

Calculated values
**Crystal system**: cubic
**Volume**: 94.3 Å³/cell
**Total magnetic moment**: 0.54 μB/f.u.
**DFT formation energy**: -0.3017 eV per atom
**SG**: F-43m, No. 216